(1)
A relaxed structure of Zn3Os, computed with PBE-GGA.

Cell: 2.6513 5.0782 5.0782 Å, 117.04 100.02 100.02°
Fractional positions:
1 Os 0.0000 0.0000 0.0000
2 Zn 0.5000 0.5000 0.0000
3 Zn 0.5000 0.0000 0.5000
4 Zn 0.0000 0.5000 0.5000

Computed properties:
- DFT total energy (eV/atom) = -3.590
- size of the total moment (μB/cell) = 0.3
- energy of formation (eV per atom) = 0.173

(2)
A relaxed structure of LiRuSeI, computed with PBE-GGA.

Cell: 3.7826 3.7829 7.2417 Å, 104.64 90.19 119.99°
Fractional positions:
1 Li 0.1936 0.7493 0.9638
2 Ru 0.0613 0.4867 0.5637
3 Se 0.4496 0.2610 0.7296
4 I 0.6358 0.6397 0.2847

Computed properties:
- DFT total energy (eV/atom) = -4.406
- size of the total moment (μB/cell) = 0.0
- polymorph energy (0 for the lowest one) (eV per atom) = 0.025

(3)
A relaxed structure of TbB2Pd7, computed with PBE-GGA.

Cell: 4.2010 6.4556 6.4556 Å, 112.28 90.00 90.00°
Fractional positions:
1 Tb 0.0000 0.0000 0.0000
2 B 0.5000 0.7091 0.2909
3 B 0.5000 0.2909 0.7091
4 Pd 0.0000 0.6769 0.3231
5 Pd 0.0000 0.3231 0.6769
6 Pd 0.5000 0.0556 0.3254
7 Pd 0.5000 0.9444 0.6746
8 Pd 0.5000 0.3254 0.0556
9 Pd 0.5000 0.6746 0.9444
10 Pd 0.5000 0.5000 0.5000

Computed properties:
- DFT total energy (eV/atom) = -5.715
- size of the total moment (μB/cell) = 0.0
- energy of formation (eV per atom) = -0.282

(4)
A relaxed structure of ScInAg2, computed with PBE-GGA.

Cell: 4.8463 4.8464 4.8361 Å, 120.81 120.79 88.78°
Fractional positions:
1 Sc 0.2500 0.7500 0.5000
2 Ag 0.0000 0.0001 0.0000
3 Ag 0.7500 0.2500 0.5000
4 In 0.5001 0.5000 0.0000

Computed properties:
- DFT total energy (eV/atom) = -3.919
- size of the total moment (μB/cell) = 0.0
- energy of formation (eV per atom) = -0.226

(5)
A relaxed structure of Li5B8C8, computed with PBE-GGA.

Cell: 2.7250 4.6957 14.3285 Å, 90.48 90.00 90.00°
Fractional positions:
1 C 0.5000 0.1712 0.3739
2 C 0.0000 0.3304 0.1255
3 C 0.0000 0.6696 0.3745
4 C 0.5000 0.8288 0.1261
5 C 0.5000 0.1707 0.8706
6 C 0.0000 0.3298 0.6254
7 C 0.0000 0.6702 0.8746
8 C 0.5000 0.8293 0.6294
9 B 0.5000 0.1623 0.1259
10 B 0.0000 0.3301 0.3742
11 B 0.0000 0.6699 0.1258
12 B 0.5000 0.8377 0.3741
13 B 0.5000 0.1622 0.6233
14 B 0.0000 0.3330 0.8725
15 B 0.0000 0.6670 0.6275
16 B 0.5000 0.8378 0.8767
17 Li 0.5000 0.5047 0.5004
18 Li 0.5000 0.5000 0.2500
19 Li 0.0000 0.0000 0.7500
20 Li 0.5000 0.4953 0.9996
21 Li 0.5000 0.5000 0.7500

Computed properties:
- DFT total energy (eV/atom) = -6.648
- size of the total moment (μB/cell) = 0.0
- polymorph energy (0 for the lowest one) (eV per atom) = 0.010
- energy of formation (eV per atom) = -0.135

(6)
A relaxed structure of TaGe2Au, computed with PBE-GGA.

Cell: 4.6173 4.6173 4.6173 Å, 60.00 60.00 60.00°
Fractional positions:
1 Ge 0.2500 0.2500 0.2500
2 Ge 0.7500 0.7500 0.7500
3 Au 0.5000 0.5000 0.5000
4 Ta 0.0000 0.0000 0.0000

Computed properties:
- DFT total energy (eV/atom) = -5.786
- size of the total moment (μB/cell) = 0.0
- polymorph energy (0 for the lowest one) (eV per atom) = 0.317
- energy of formation (eV per atom) = 0.305

(7)
A relaxed structure of TmGe2Pb3O9, computed with PBE-GGA.

Cell: 5.6657 5.6657 7.1216 Å, 90.00 90.00 120.00°
Fractional positions:
1 Tm 0.0000 0.0000 0.5000
2 Ge 0.3333 0.6667 0.1735
3 Ge 0.6667 0.3333 0.8265
4 Pb 0.3333 0.6667 0.7098
5 Pb 0.0000 0.0000 0.0000
6 Pb 0.6667 0.3333 0.2902
7 O 0.8266 0.1734 0.6917
8 O 0.8266 0.6531 0.6917
9 O 0.3469 0.1734 0.6917
10 O 0.6531 0.8266 0.3083
11 O 0.1734 0.3469 0.3083
12 O 0.1734 0.8266 0.3083
13 O 0.5000 0.0000 0.0000
14 O 0.0000 0.5000 0.0000
15 O 0.5000 0.5000 0.0000

Computed properties:
- DFT total energy (eV/atom) = -6.239
- size of the total moment (μB/cell) = 0.0

(8)
A relaxed structure of Bi4Se5O, computed with PBE-GGA.

Cell: 4.0246 7.7177 9.6854 Å, 104.29 101.99 90.00°
Fractional positions:
1 Bi 0.3324 0.9460 0.6647
2 Bi 0.9903 0.7740 0.9805
3 Bi 0.6676 0.0540 0.3353
4 Bi 0.0097 0.2260 0.0195
5 Se 0.8449 0.6758 0.6898
6 Se 0.8146 0.2125 0.6291
7 Se 0.1854 0.7875 0.3709
8 Se 0.5000 0.5000 0.0000
9 Se 0.1551 0.3242 0.3102
10 O 0.5000 0.0000 0.0000

Computed properties:
- DFT total energy (eV/atom) = -4.133
- size of the total moment (μB/cell) = 0.0

(9)
A relaxed structure of LaSm14Cd, computed with PBE-GGA.

Cell: 7.1796 7.1796 10.2384 Å, 90.00 90.00 89.99°
Fractional positions:
1 La 0.8751 0.1249 0.0000
2 Sm 0.3752 0.6248 0.5000
3 Sm 0.8748 0.1252 0.5000
4 Sm 0.8745 0.6248 0.0000
5 Sm 0.8753 0.6253 0.5000
6 Sm 0.3752 0.1255 0.0000
7 Sm 0.3747 0.1247 0.5000
8 Sm 0.6231 0.8731 0.7525
9 Sm 0.6231 0.8731 0.2475
10 Sm 0.1269 0.3769 0.7525
11 Sm 0.1269 0.3769 0.2475
12 Sm 0.1271 0.8729 0.7527
13 Sm 0.1271 0.8729 0.2473
14 Sm 0.6229 0.3771 0.7523
15 Sm 0.6229 0.3771 0.2477
16 Cd 0.3749 0.6251 0.0000

Computed properties:
- DFT total energy (eV/atom) = -4.503
- size of the total moment (μB/cell) = 0.0
- energy of formation (eV per atom) = -0.009

(10)
A relaxed structure of NdSc2Tl2, computed with PBE-GGA.

Cell: 4.5420 4.5421 7.4080 Å, 107.83 107.85 90.00°
Fractional positions:
1 Nd 0.0000 0.0000 0.0000
2 Sc 0.7500 0.2500 0.5000
3 Sc 0.2500 0.7500 0.5000
4 Tl 0.6070 0.6072 0.2139
5 Tl 0.3930 0.3928 0.7861

Computed properties:
- DFT total energy (eV/atom) = -4.638
- size of the total moment (μB/cell) = 0.2
- energy of formation (eV per atom) = -0.206

(11)
A relaxed structure of NaSnHgPb2, computed with PBE-GGA.

Cell: 6.6715 6.6941 8.0649 Å, 114.52 90.00 90.00°
Fractional positions:
1 Na 0.7500 0.7567 0.5135
2 Na 0.2500 0.2433 0.4865
3 Sn 0.2500 0.8539 0.7077
4 Sn 0.7500 0.1461 0.2923
5 Hg 0.2500 0.6560 0.3121
6 Hg 0.7500 0.3440 0.6879
7 Pb 0.5000 0.2528 0.0000
8 Pb 0.0000 0.7472 0.0000
9 Pb 0.5000 0.7472 0.0000
10 Pb 0.0000 0.2528 0.0000

Computed properties:
- DFT total energy (eV/atom) = -2.629
- size of the total moment (μB/cell) = 0.0
- energy of formation (eV per atom) = -0.021

(12)
A relaxed structure of K2InTe, computed with PBE-GGA.

Cell: 6.6175 6.6175 3.4025 Å, 90.00 90.00 108.44°
Fractional positions:
1 In 0.0000 0.5000 0.5000
2 K 0.0000 0.0000 0.0000
3 K 0.5000 0.5000 0.0000
4 Te 0.5000 0.0000 0.5000

Computed properties:
- DFT total energy (eV/atom) = -2.395
- size of the total moment (μB/cell) = 0.0
- polymorph energy (0 for the lowest one) (eV per atom) = 0.176

(13)
A relaxed structure of FeRu2Pb, computed with PBE-GGA.

Cell: 4.0937 2.9468 5.7099 Å, 72.16 90.00 90.00°
Fractional positions:
1 Fe 0.5000 0.2500 0.2500
2 Pb 0.5000 0.7500 0.7500
3 Ru 0.0000 0.0909 0.0353
4 Ru 0.0000 0.4091 0.4647

Computed properties:
- DFT total energy (eV/atom) = -7.156
- size of the total moment (μB/cell) = 4.2
- energy of formation (eV per atom) = 0.525

(14)
A relaxed structure of LiReCl3, computed with PBE-GGA.

Cell: 4.6622 4.6622 4.6622 Å, 90.00 90.00 90.00°
Fractional positions:
1 Re 0.5000 0.5000 0.5000
2 Li 0.0000 0.0000 0.0000
3 Cl 0.0000 0.5000 0.0000
4 Cl 0.0000 0.0000 0.5000
5 Cl 0.5000 0.0000 0.0000

Computed properties:
- DFT total energy (eV/atom) = -3.738
- size of the total moment (μB/cell) = 5.0
- polymorph energy (0 for the lowest one) (eV per atom) = 0.418

(15)
A relaxed structure of Ac3Tl2Cu, computed with PBE-GGA.

Cell: 6.8766 7.3086 8.8694 Å, 101.54 112.81 90.00°
Fractional positions:
1 Ac 0.6053 0.2500 0.0000
2 Ac 0.3947 0.7500 0.0000
3 Ac 0.2561 0.0919 0.3079
4 Ac 0.9482 0.4081 0.6921
5 Ac 0.0518 0.5919 0.3079
6 Ac 0.7439 0.9081 0.6921
7 Tl 0.5592 0.5506 0.3441
8 Tl 0.7849 0.0506 0.3441
9 Tl 0.2151 0.9494 0.6559
10 Tl 0.4408 0.4494 0.6559
11 Cu 0.8706 0.7500 0.0000
12 Cu 0.1294 0.2500 0.0000

Computed properties:
- DFT total energy (eV/atom) = -3.695
- size of the total moment (μB/cell) = 0.0
- polymorph energy (0 for the lowest one) (eV per atom) = 0.093
- energy of formation (eV per atom) = -0.169

(16)
A relaxed structure of Pr2MgNi, computed with PBE-GGA.

Cell: 3.7348 6.5275 8.9160 Å, 90.00 90.00 106.55°
Fractional positions:
1 Pr 0.3644 0.7306 0.5595
2 Pr 0.6356 0.2694 0.4405
3 Pr 0.3644 0.7306 0.9405
4 Pr 0.6356 0.2694 0.0595
5 Mg 0.9215 0.8445 0.2500
6 Mg 0.0785 0.1555 0.7500
7 Ni 0.7454 0.4910 0.7500
8 Ni 0.2546 0.5090 0.2500

Computed properties:
- DFT total energy (eV/atom) = -4.361
- size of the total moment (μB/cell) = 0.0
- polymorph energy (0 for the lowest one) (eV per atom) = 0.015
- energy of formation (eV per atom) = -0.127

(17)
A relaxed structure of Pr2AlP3Rh12, computed with PBE-GGA.

Cell: 7.1554 7.1554 7.1554 Å, 71.90 71.90 71.90°
Fractional positions:
1 Pr 0.6062 0.6062 0.6062
2 Pr 0.3938 0.3938 0.3938
3 Al 0.0000 0.0000 0.0000
4 P 0.5000 0.0000 0.0000
5 P 0.0000 0.5000 0.0000
6 P 0.0000 0.0000 0.5000
7 Rh 0.3307 0.3307 0.9101
8 Rh 0.8612 0.8612 0.3599
9 Rh 0.3599 0.8612 0.8612
10 Rh 0.9101 0.3307 0.3307
11 Rh 0.8612 0.3599 0.8612
12 Rh 0.3307 0.9101 0.3307
13 Rh 0.6693 0.6693 0.0899
14 Rh 0.1388 0.1388 0.6401
15 Rh 0.6401 0.1388 0.1388
16 Rh 0.0899 0.6693 0.6693
17 Rh 0.1388 0.6401 0.1388
18 Rh 0.6693 0.0899 0.6693

Computed properties:
- DFT total energy (eV/atom) = -6.838
- size of the total moment (μB/cell) = 0.0
- energy of formation (eV per atom) = -0.297

(18)
A relaxed structure of ZrTl2Cl, computed with PBE-GGA.

Cell: 3.4774 3.4774 9.6284 Å, 90.00 90.00 118.83°
Fractional positions:
1 Cl 0.5000 0.5000 0.7500
2 Tl 0.0000 0.0000 0.9953
3 Tl 0.0000 0.0000 0.5047
4 Zr 0.5000 0.5000 0.2500

Computed properties:
- DFT total energy (eV/atom) = -3.833
- size of the total moment (μB/cell) = 0.0
- polymorph energy (0 for the lowest one) (eV per atom) = 0.492

(19)
A relaxed structure of YSeN3, computed with PBE-GGA.

Cell: 4.5049 4.5049 4.5049 Å, 90.00 90.00 90.00°
Fractional positions:
1 Y 0.0000 0.0000 0.0000
2 Se 0.5000 0.5000 0.5000
3 N 0.0000 0.5000 0.0000
4 N 0.0000 0.0000 0.5000
5 N 0.5000 0.0000 0.0000

Computed properties:
- DFT total energy (eV/atom) = -5.311
- size of the total moment (μB/cell) = 4.0

(20)
A relaxed structure of Lu12Cd3H5, computed with PBE-GGA.

Cell: 13.1362 13.1362 13.1362 Å, 109.47 109.47 109.47°
Fractional positions:
1 H 0.1250 0.3750 0.2500
2 H 0.0000 0.5000 0.0000
3 H 0.0000 0.0000 0.0000
4 H 0.3750 0.2500 0.1250
5 H 0.5000 0.0000 0.5000
6 H 0.5000 0.5000 0.0000
7 H 0.1250 0.7500 0.3750
8 H 0.7500 0.1250 0.8750
9 H 0.7500 0.6250 0.3750
10 H 0.3750 0.1250 0.7500
11 H 0.6250 0.8750 0.2500
12 H 0.5000 0.5000 0.5000
13 H 0.5000 0.0000 0.0000
14 H 0.0000 0.0000 0.5000
15 H 0.2500 0.3750 0.6250
16 H 0.2500 0.8750 0.1250
17 H 0.0000 0.5000 0.5000
18 H 0.8750 0.2500 0.6250
19 H 0.6250 0.7500 0.8750
20 H 0.8750 0.6250 0.7500
21 Lu 0.7033 0.1066 0.0101
22 Lu 0.3068 0.5101 0.4035
23 Lu 0.9899 0.3934 0.2967
24 Lu 0.5101 0.2033 0.1066
25 Lu 0.5967 0.7033 0.6932
26 Lu 0.9899 0.5965 0.1932
27 Lu 0.3068 0.7967 0.4033
28 Lu 0.0965 0.9033 0.1066
29 Lu 0.5965 0.9899 0.6932
30 Lu 0.7033 0.5967 0.1932
31 Lu 0.7967 0.4899 0.3934
32 Lu 0.8068 0.9035 0.0101
33 Lu 0.1066 0.7033 0.5101
34 Lu 0.3934 0.4035 0.0967
35 Lu 0.0967 0.9035 0.3934
36 Lu 0.4033 0.1066 0.5965
37 Lu 0.0967 0.1932 0.2033
38 Lu 0.4899 0.6932 0.0965
39 Lu 0.8068 0.9033 0.2967
40 Lu 0.1066 0.4033 0.0965
41 Lu 0.3934 0.9899 0.7967
42 Lu 0.5965 0.6066 0.4033
43 Lu 0.9035 0.8068 0.5101
44 Lu 0.7967 0.3068 0.9033
45 Lu 0.4035 0.3934 0.5967
46 Lu 0.0965 0.1932 0.4899
47 Lu 0.2033 0.6932 0.0967
48 Lu 0.1932 0.0967 0.7033
49 Lu 0.6066 0.0101 0.2033
50 Lu 0.8934 0.5967 0.9035
51 Lu 0.5101 0.3068 0.9035
52 Lu 0.5967 0.8934 0.4035
53 Lu 0.9033 0.8068 0.7967
54 Lu 0.9033 0.0965 0.6066
55 Lu 0.8934 0.2967 0.4899
56 Lu 0.1932 0.0965 0.9899
57 Lu 0.6066 0.5965 0.9033
58 Lu 0.4035 0.0101 0.3068
59 Lu 0.2967 0.4033 0.8068
60 Lu 0.2033 0.5101 0.6066
61 Lu 0.9035 0.0967 0.8934
62 Lu 0.6932 0.2033 0.5967
63 Lu 0.4899 0.7967 0.8934
64 Lu 0.0101 0.4035 0.8068
65 Lu 0.4033 0.2967 0.3068
66 Lu 0.0101 0.6066 0.7033
67 Lu 0.6932 0.4899 0.5965
68 Lu 0.2967 0.8934 0.9899
69 Cd 0.7500 0.3750 0.1250
70 Cd 0.8750 0.7500 0.1250
71 Cd 0.3750 0.7500 0.6250
72 Cd 0.2500 0.1250 0.3750
73 Cd 0.8750 0.1250 0.2500
74 Cd 0.3750 0.6250 0.2500
75 Cd 0.6250 0.3750 0.7500
76 Cd 0.1250 0.8750 0.7500
77 Cd 0.7500 0.8750 0.6250
78 Cd 0.6250 0.2500 0.3750
79 Cd 0.1250 0.2500 0.8750
80 Cd 0.2500 0.6250 0.8750

Computed properties:
- DFT total energy (eV/atom) = -3.863
- size of the total moment (μB/cell) = 0.0